VASP calculation (GGA-PBE) on crystalline Ti2Si2Ge at its relaxed geometry.

Lattice parameters (Å, degrees): 6.6732 6.6732 3.6422 90.00 90.00 90.00
With the nearest neighbours (Å) after each atom.
Fractional positions:
Ti 0.6715 0.1715 0.0000  2 Ge 2.47, 6 Si 2.63-2.72
Ti 0.3285 0.8285 0.0000  2 Ge 2.47, 6 Si 2.63-2.72
Si 0.6272 0.8728 0.5000  1 Si 2.40, 2 Ti 2.63
Ti 0.8285 0.6715 0.0000  2 Ge 2.47, 6 Si 2.63-2.72
Si 0.1272 0.6272 0.5000  1 Si 2.40, 2 Ti 2.63
Ti 0.1715 0.3285 0.0000  2 Ge 2.47, 6 Si 2.63-2.72
Si 0.3728 0.1272 0.5000  1 Si 2.40, 2 Ti 2.63
Si 0.8728 0.3728 0.5000  1 Si 2.40, 2 Ti 2.63
Ge 0.0000 0.0000 0.0000  4 Ti 2.47
Ge 0.5000 0.5000 0.0000  4 Ti 2.47

Values from the calculation:
The value obtained for the total energy is -66.4 eV/cell. The energy relative to the elements, uncorrected comes out at -1.97 eV per formula unit. For the energy above the most stable polymorph in this dataset, the calculation gives 9 meV per atom. For the density of states at the Fermi level, the calculation gives 6.70 states/eV per cell. As for the volume: 162.2 Å³/cell.